DFT (PBE) results for crystalline Pm8Pt3RhBr4 at its relaxed geometry.

Raw total energy: -5.598 eV per atom
SG: No. 12

POSCAR file:
```
Pm8Pt3RhBr4
1.0
8.3548 0.0000 0.0000
0.0000 9.0887 0.5127
-4.1774 -4.1771 5.9059
Pm Pt Rh Br
8 3 1 4
direct
0.2300 0.6969 0.9673
0.2301 0.6970 0.4602
0.2675 0.3029 0.5350
0.7373 0.6969 0.9673
0.2627 0.3031 0.0327
0.7325 0.6971 0.4650
0.7699 0.3030 0.5398
0.7700 0.3031 0.0327
0.5000 0.5000 0.0000
0.5000 0.5000 0.5000
0.0000 0.5000 0.5000
0.0000 0.5000 0.0000
0.5000 0.0000 0.0000
0.5000 0.0000 0.5000
0.0000 0.0000 0.0000
0.0000 0.0000 0.5000
```

=====

DFT (PBE) results for crystalline TaHgCl at its relaxed geometry.

Raw total energy: -4.248 eV per atom
SG: No. 187

POSCAR file:
```
TaHgCl
1.0
4.6420 0.0000 0.0000
-2.3210 4.0201 0.0000
0.0000 0.0000 3.0693
Cl Hg Ta
1 1 1
direct
0.0000 0.0000 0.8334
0.6667 0.3333 0.3332
0.3333 0.6667 0.8333
```

=====

DFT (PBE) results for crystalline NaOs3N at its relaxed geometry.

Raw total energy: -7.740 eV per atom
SG: No. 221

POSCAR file:
```
NaOs3N
1.0
-1.7037 2.3741 2.8667
-1.1173 -3.3335 2.0967
3.5505 0.0902 2.0354
Na Os N
1 3 1
direct
0.5000 0.5000 0.5000
0.0000 0.5000 0.0000
0.0000 0.0000 0.5000
0.5000 0.0000 0.0000
0.0000 0.0000 0.0000
```

=====

DFT (PBE) results for crystalline Cu2SbPd at its relaxed geometry.

Raw total energy: -4.475 eV per atom
SG: No. 123

POSCAR file:
```
Cu2SbPd
1.0
-1.4914 1.6424 3.2278
-1.9045 -3.3867 0.8432
3.1446 -1.2485 2.0882
Sb Cu Pd
1 2 1
direct
0.5000 0.5000 0.5000
0.0000 0.0000 0.5000
0.0000 0.5000 0.0000
0.5000 0.0000 0.0000
```

=====

DFT (PBE) results for crystalline Cu2MoC at its relaxed geometry.

Formation energy from the elements: 0.715 eV/atom
Raw total energy: -6.346 eV per atom
SG: No. 122

POSCAR file:
```
Cu2MoC
1.0
6.5745 0.0000 0.0000
0.0000 6.5745 0.0000
3.2872 3.2872 2.1785
Mo C Cu
2 2 4
direct
0.0000 0.0000 0.0000
0.7500 0.2500 0.5000
0.5000 0.5000 0.0000
0.2500 0.7500 0.5000
0.5413 0.1250 0.2500
0.2087 0.6250 0.2500
0.3750 0.4587 0.7500
0.8750 0.7913 0.7500
```

=====

DFT (PBE) results for crystalline Ir2RhS at its relaxed geometry.

Raw total energy: -6.638 eV per atom
SG: No. 225

POSCAR file:
```
Ir2RhS
1.0
0.0000 3.0769 3.0769
3.0769 0.0000 3.0769
3.0769 3.0769 0.0000
S Ir Rh
1 2 1
direct
0.0000 0.0000 0.0000
0.2500 0.2500 0.2500
0.7500 0.7500 0.7500
0.5000 0.5000 0.5000
```

=====

DFT (PBE) results for crystalline Ce4InAu3 at its relaxed geometry.

Formation energy from the elements: -0.525 eV/atom
Raw total energy: -5.063 eV per atom
SG: No. 166

POSCAR file:
```
Ce4InAu3
1.0
5.0742 0.0000 1.4978
2.3160 4.5148 1.4978
0.0759 0.0464 9.0866
Au Ce In
3 4 1
direct
0.2638 0.2638 0.2085
0.7362 0.7362 0.7915
0.5000 0.5000 0.5000
0.8652 0.8652 0.4044
0.3841 0.3841 0.8478
0.1348 0.1348 0.5956
0.6159 0.6159 0.1522
0.0000 0.0000 0.0000
```

=====

DFT (PBE) results for crystalline Na2LiPdO4 at its relaxed geometry.

Raw total energy: -4.513 eV per atom
SG: No. 121

POSCAR file:
```
Na2LiPdO4
1.0
5.5951 0.0000 0.0000
2.7976 4.2139 0.0000
2.7976 0.0000 4.2139
Na Li Pd O
2 1 1 4
direct
0.0000 0.5000 0.5000
0.5000 0.5000 0.5000
0.5000 0.0000 0.0000
0.0000 0.0000 0.0000
0.0765 0.3263 0.0000
0.9235 0.0000 0.6737
0.5972 0.0000 0.3263
0.4028 0.6737 0.0000
```

=====

DFT (PBE) results for crystalline PaCd2Pd9 at its relaxed geometry.

Formation energy from the elements: -0.488 eV/atom
Raw total energy: -5.326 eV per atom
SG: No. 123

POSCAR file:
```
PaCd2Pd9
1.0
-1.5773 0.3534 3.7553
3.7447 -0.3413 1.6049
1.3428 12.0511 -0.5700
Pa Cd Pd
1 2 9
direct
0.0000 0.0000 0.0000
0.0000 0.0000 0.3384
0.0000 0.0000 0.6616
0.5000 0.5000 0.0000
0.5000 0.5000 0.3318
0.5000 0.5000 0.6682
0.5000 0.0000 0.1648
0.5000 0.0000 0.5000
0.5000 0.0000 0.8352
0.0000 0.5000 0.1648
0.0000 0.5000 0.5000
0.0000 0.5000 0.8352
```

=====

DFT (PBE) results for crystalline Zn2RuRh at its relaxed geometry.

Formation energy from the elements: -0.096 eV/atom
Raw total energy: -4.890 eV per atom
SG: No. 166

POSCAR file:
```
Zn2RuRh
1.0
8.5844 0.0093 0.0055
8.1323 2.7493 0.0055
8.1323 1.3420 2.3996
Rh Ru Zn
1 1 2
direct
0.2500 0.2500 0.2500
0.7500 0.7500 0.7500
0.9993 0.9993 0.9993
0.5007 0.5007 0.5007
```

=====

DFT (PBE) results for crystalline FeCoSn2B at its relaxed geometry.

Formation energy from the elements: 0.676 eV/atom
Raw total energy: -5.374 eV per atom
SG: No. 123

POSCAR file:
```
FeCoSn2B
1.0
-3.9251 0.3315 2.5365
-1.0148 -3.3953 -1.1266
2.2156 -1.8814 3.6744
B Co Sn Fe
1 1 2 1
direct
0.0000 0.0000 0.0000
0.0000 0.5000 0.0000
0.0000 0.0000 0.5000
0.5000 0.0000 0.0000
0.5000 0.5000 0.5000
```

=====

DFT (PBE) results for crystalline K3ZrGe2O8 at its relaxed geometry.

Raw total energy: -6.330 eV per atom
SG: No. 164

POSCAR file:
```
K3ZrGe2O8
1.0
-1.0089 3.0310 -4.8822
3.3658 -4.7628 -0.1662
-6.1960 -4.3295 -1.4076
K Zr Ge O
3 1 2 8
direct
0.3333 0.6667 0.6944
0.6667 0.3333 0.3056
0.0000 0.0000 0.0000
0.0000 0.0000 0.5000
0.3333 0.6667 0.2571
0.6667 0.3333 0.7429
0.3333 0.6667 0.0291
0.6667 0.3333 0.9709
0.1689 0.8311 0.3383
0.8311 0.1689 0.6617
0.1689 0.3378 0.3383
0.8311 0.6622 0.6617
0.6622 0.8311 0.3383
0.3378 0.1689 0.6617
```